Entry 1:
Material: Li2BeCl4
Method: DFT, GGA-PBE
State: relaxed

Lattice parameters (Å, degrees): 6.2795 6.2795 6.2795 125.61 125.61 80.53
With the nearest neighbours (Å) after each atom.
Element x y z (fractional)
Li (0.2500, 0.7500, 0.5000)  4 Cl 2.41
Li (0.7500, 0.2500, 0.5000)  4 Cl 2.41
Be (0.0000, 0.0000, 0.0000)  4 Cl 2.04
Cl (0.0894, 0.6729, 0.0000)  1 Be 2.04
Cl (0.3271, 0.3271, 0.4165)  1 Be 2.04
Cl (0.6729, 0.0894, 0.0000)  1 Be 2.04
Cl (0.9106, 0.9106, 0.5835)  1 Be 2.04

Properties
Its magnetic moment is 0.00 μB per formula unit. The value obtained for the distance to the lowest polymorph of the same formula is 0 meV per atom. The calculation puts the formation energy without anion corrections at -1.660 eV per atom.


Entry 2:
Material: PrYTlAu
Method: DFT, GGA-PBE
State: relaxed

Lattice parameters (Å, degrees): 3.6881 3.6881 7.9086 90.00 90.00 90.00
With the nearest neighbours (Å) after each atom.
Element x y z (fractional)
Pr (0.0000, 0.0000, 0.0000)  4 Au 3.33, 4 Tl 3.41, 1 Y 3.65, 4 Pr 3.69
Y (0.0000, 0.0000, 0.4614)  4 Au 3.05, 4 Tl 3.33
Tl (0.5000, 0.5000, 0.7225)  4 Y 3.33, 4 Pr 3.41, 1 Au 3.65, 4 Tl 3.69
Au (0.5000, 0.5000, 0.2608)  4 Y 3.05, 4 Pr 3.33

Properties
The value obtained for the formation enthalpy at 0 K is -604 meV per atom. Its magnetic moment is 0.00 μB per formula unit. The value obtained for the distance to the lowest polymorph of the same formula is 0 meV per atom.


Entry 3:
Material: TmScO4
Method: DFT, GGA-PBE
State: relaxed

Lattice parameters (Å, degrees): 3.7935 3.7935 5.9375 95.10 95.10 55.49
With the nearest neighbours (Å) after each atom.
Element x y z (fractional)
Tm (0.0000, 0.0000, 0.0000)  7 O 2.20-2.35
Sc (0.3580, 0.3580, 0.4532)  7 O 2.14-2.28
O (0.0358, 0.0358, 0.3822)  3 Sc 2.16-2.20, 1 Tm 2.26
O (0.3252, 0.3252, 0.0913)  1 Sc 2.14, 3 Tm 2.20-2.22
O (0.5811, 0.5811, 0.7650)  1 O 1.48
O (0.7764, 0.7764, 0.6693)  1 O 1.48

Properties
Its magnetic moment is 0.00 μB per formula unit. The calculation puts the formation energy without anion corrections at -2.941 eV per atom.


Entry 4:
Material: YTl2Cl
Method: DFT, GGA-PBE
State: relaxed

Lattice parameters (Å, degrees): 7.6365 7.6365 7.6365 96.93 96.93 139.35
With the nearest neighbours (Å) after each atom.
Element x y z (fractional)
Y (0.0000, 0.0000, 0.0000)  2 Cl 2.65
Y (0.7500, 0.2500, 0.5000)  2 Cl 2.65
Tl (0.0578, 0.1250, 0.4328)  2 Tl 2.98, 2 Y 3.21
Tl (0.3750, 0.9422, 0.0672)  2 Tl 2.98, 2 Y 3.21
Tl (0.6922, 0.6250, 0.5672)  2 Tl 2.98, 2 Y 3.21
Tl (0.8750, 0.3078, 0.9328)  2 Tl 2.98, 2 Y 3.21
Cl (0.2500, 0.7500, 0.5000)  2 Y 2.65
Cl (0.5000, 0.5000, 0.0000)  2 Y 2.65

Properties
Its magnetic moment is 0.00 μB per formula unit. The value obtained for the distance to the lowest polymorph of the same formula is 360 meV per atom. The calculation puts the formation energy without anion corrections at -0.385 eV per atom.